No. 1
Compound: Ba6P3ICl2
Source: Alexandria
Functional: PBE
Structure: optimized geometry

Lattice parameters (Å, degrees): 4.705 9.656 10.747 104.83 102.64 90.00
Fractional coordinates of all 12 atoms:
Ba 0.322 0.934 0.645
Ba 0.660 0.600 0.320
Ba 0.678 0.066 0.355
Ba 0.992 0.278 0.984
Ba 0.008 0.722 0.016
Ba 0.340 0.400 0.680
P 0.500 0.500 0.000
P 0.834 0.169 0.667
P 0.166 0.831 0.333
I 0.500 0.000 0.000
Cl 0.831 0.664 0.662
Cl 0.169 0.336 0.338

Properties
**Uncorrected energy**: -4.322 eV per atom
**Symmetry**: C2/m, No. 12
**Formation energy (no corrections)**: -1571 meV/atom

***

No. 2
Compound: CaTbSiAg
Source: Alexandria
Functional: PBE
Structure: optimized geometry

Lattice parameters (Å, degrees): 5.092 5.092 5.092 60.00 60.00 60.00
Fractional coordinates of all 4 atoms:
Ca 0.500 0.500 0.500
Tb 0.000 0.000 0.000
Si 0.750 0.750 0.750
Ag 0.250 0.250 0.250

Properties
**Uncorrected energy**: -4.152 eV per atom
**Symmetry**: F-43m, No. 216
**Formation energy (no corrections)**: -426 meV/atom

***

No. 3
Compound: RbU3O8
Source: Alexandria
Functional: PBE
Structure: optimized geometry

Lattice parameters (Å, degrees): 6.135 6.135 7.746 90.00 90.00 120.00
Last column: magnetic moment on the atom in μB.
Fractional coordinates of all 12 atoms:
Rb 0.000 0.000 0.500  0.00
U 0.667 0.333 0.928  1.00
U 0.333 0.667 0.072  1.00
U 0.000 0.000 0.000  1.24
O 0.702 0.046 0.112  -0.04
O 0.344 0.298 0.112  -0.04
O 0.954 0.656 0.112  -0.04
O 0.298 0.954 0.888  -0.04
O 0.656 0.702 0.888  -0.04
O 0.046 0.344 0.888  -0.04
O 0.667 0.333 0.685  -0.05
O 0.333 0.667 0.315  -0.05

Properties
**Uncorrected energy**: -9.039 eV per atom
**Symmetry**: P-3, No. 147
**Formation energy (no corrections)**: -2831 meV/atom

***

No. 4
Compound: Nb2GaSe6
Source: Alexandria
Functional: PBE
Structure: optimized geometry

Lattice parameters (Å, degrees): 3.444 7.214 9.725 79.82 79.80 76.19
Fractional coordinates of all 9 atoms:
Nb 0.321 0.069 0.290
Nb 0.679 0.931 0.710
Ga 0.000 0.000 0.000
Se 0.786 0.292 0.136
Se 0.214 0.708 0.864
Se 0.332 0.801 0.535
Se 0.982 0.799 0.236
Se 0.018 0.201 0.764
Se 0.668 0.199 0.465

Properties
**Uncorrected energy**: -5.530 eV per atom
**Symmetry**: C2/m, No. 12
**Formation energy (no corrections)**: -633 meV/atom

***

No. 5
Compound: BaCa2W
Source: Alexandria
Functional: PBE
Structure: optimized geometry

Lattice parameters (Å, degrees): 8.654 8.654 8.654 157.67 142.91 43.72
Last column: magnetic moment on the atom in μB.
Fractional coordinates of all 4 atoms:
Ca 0.005 0.005 0.000  0.01
Ca 0.660 0.160 0.500  0.01
Ba 0.333 0.833 0.500  0.01
W 0.503 0.503 0.000  0.27

Properties
**Energy of formation**: 0.95 eV per atom
**Uncorrected energy**: -3.769 eV per atom
**Symmetry**: Imm2, No. 44

***

No. 6
Compound: Pr2BAsRh6
Source: Alexandria
Functional: PBE
Structure: optimized geometry

Lattice parameters (Å, degrees): 4.490 4.490 8.804 90.00 90.00 90.00
Fractional coordinates of all 10 atoms:
Pr 0.000 0.000 0.737
Pr 0.000 0.000 0.263
B 0.500 0.500 0.500
As 0.500 0.500 0.000
Rh 0.500 0.000 0.000
Rh 0.500 0.000 0.500
Rh 0.000 0.500 0.000
Rh 0.000 0.500 0.500
Rh 0.500 0.500 0.730
Rh 0.500 0.500 0.270

Properties
**Energy of formation**: -0.52 eV per atom
**Uncorrected energy**: -7.023 eV per atom
**Symmetry**: P4/mmm, No. 123

***

Q: Among the records above, which one has the highest uncorrected energy?
A: BaCa2W

***

Q: What is the uncorrected energy in the sixth record?
A: -7.023 eV per atom

***

Q: Which of these has the highest uncorrected energy?
A: BaCa2W